Here is an optimized crystal structure of PmSmBeIr from Alexandria via LeMat-Bulk. Energies are from PBE.

Computed properties:
DFT total energy, eV per atom: -5.769
Mass density, g/cm3: 9.5
DOS(E_F), states/eV/cell: 10.52

CIF file:
```
data_PmSmBeIr
_symmetry_space_group_name_H-M 'F -4 3 m'
_symmetry_Int_Tables_number 216
_symmetry_space_group_name_Hall 'F -4 2 3'
_cell_length_a 7.035
_cell_length_b 7.035
_cell_length_c 7.035
_cell_angle_alpha 90.00
_cell_angle_beta 90.00
_cell_angle_gamma 90.00
loop_
_atom_site_label
_atom_site_fract_x
_atom_site_fract_y
_atom_site_fract_z
Pm1 0.000 0.000 0.000
Sm1 0.000 0.000 0.500
Be1 0.250 0.250 0.750
Ir1 0.250 0.250 0.250
```

Here is an optimized crystal structure of PmTaBeIr2 from Alexandria via LeMat-Bulk. Energies are from PBE.

Computed properties:
DFT total energy, eV per atom: -8.159
Mass density, g/cm3: 12.9
DOS(E_F), states/eV/cell: 6.58

CIF file:
```
data_PmTaBeIr2
_symmetry_space_group_name_H-M 'I -4 m 2'
_symmetry_Int_Tables_number 119
_symmetry_space_group_name_Hall 'I -4 -2'
_cell_length_a 3.975
_cell_length_b 3.975
_cell_length_c 11.726
_cell_angle_alpha 90.00
_cell_angle_beta 90.00
_cell_angle_gamma 90.00
loop_
_atom_site_label
_atom_site_fract_x
_atom_site_fract_y
_atom_site_fract_z
Pm1 0.000 0.000 0.000
Ta1 0.000 0.500 0.750
Be1 0.000 0.500 0.250
Ir1 0.000 0.000 0.384
```

Here is an optimized crystal structure of PmTiBeIr2 from Alexandria via LeMat-Bulk. Energies are from PBE.

Computed properties:
DFT total energy, eV per atom: -7.474
Mass density, g/cm3: 10.9
DOS(E_F), states/eV/cell: 4.24

CIF file:
```
data_PmTiBeIr2
_symmetry_space_group_name_H-M 'I -4 m 2'
_symmetry_Int_Tables_number 119
_symmetry_space_group_name_Hall 'I -4 -2'
_cell_length_a 3.960
_cell_length_b 3.960
_cell_length_c 11.365
_cell_angle_alpha 90.00
_cell_angle_beta 90.00
_cell_angle_gamma 90.00
loop_
_atom_site_label
_atom_site_fract_x
_atom_site_fract_y
_atom_site_fract_z
Pm1 0.000 0.000 0.000
Ti1 0.000 0.500 0.750
Be1 0.000 0.500 0.250
Ir1 0.000 0.000 0.382
```

Here is an optimized crystal structure of Pm2Be3ZnIr4 from Alexandria via LeMat-Bulk. Energies are from PBE.

Computed properties:
DFT total energy, eV per atom: -6.293
Mass density, g/cm3: 11.8
DOS(E_F), states/eV/cell: 4.25

CIF file:
```
data_Pm2Be3ZnIr4
_symmetry_space_group_name_H-M 'P -4 m 2'
_symmetry_Int_Tables_number 115
_symmetry_space_group_name_Hall 'P -4 -2'
_cell_length_a 4.038
_cell_length_b 4.038
_cell_length_c 9.908
_cell_angle_alpha 90.00
_cell_angle_beta 90.00
_cell_angle_gamma 90.00
loop_
_atom_site_label
_atom_site_fract_x
_atom_site_fract_y
_atom_site_fract_z
Pm1 0.000 0.500 0.242
Be1 0.000 0.500 0.883
Be2 0.500 0.500 0.500
Zn1 0.000 0.000 0.500
Ir1 0.000 0.000 0.000
Ir2 0.000 0.500 0.645
Ir3 0.500 0.500 0.000
```

Here is an optimized crystal structure of PmZrBeIr2 from Alexandria via LeMat-Bulk. Energies are from PBE.

Computed properties:
DFT total energy, eV per atom: -7.539
Mass density, g/cm3: 10.8
DOS(E_F), states/eV/cell: 5.89

CIF file:
```
data_PmZrBeIr2
_symmetry_space_group_name_H-M 'I -4 m 2'
_symmetry_Int_Tables_number 119
_symmetry_space_group_name_Hall 'I -4 -2'
_cell_length_a 4.017
_cell_length_b 4.017
_cell_length_c 11.976
_cell_angle_alpha 90.00
_cell_angle_beta 90.00
_cell_angle_gamma 90.00
loop_
_atom_site_label
_atom_site_fract_x
_atom_site_fract_y
_atom_site_fract_z
Pm1 0.000 0.000 0.000
Zr1 0.000 0.500 0.250
Be1 0.000 0.500 0.750
Ir1 0.000 0.000 0.388
```

Here is an optimized crystal structure of PrBeIr from Alexandria via LeMat-Bulk. Energies are from PBE.

Computed properties:
DFT total energy, eV per atom: -6.101
Mass density, g/cm3: 10.3
DOS(E_F), states/eV/cell: 27.04

CIF file:
```
data_PrBeIr
_symmetry_space_group_name_H-M 'F d d d'
_symmetry_Int_Tables_number 70
_cell_length_a 7.354
_cell_length_b 9.665
_cell_length_c 12.390
_cell_angle_alpha 90.00
_cell_angle_beta 90.00
_cell_angle_gamma 90.00
loop_
_symmetry_equiv_pos_as_xyz
'x,y,z'
'-x,-y,-z'
'-x+1/4,-y+1/4,z'
'x+1/4,y+1/4,-z'
'x,-y+1/4,-z+1/4'
'-x,y+1/4,z+1/4'
'-x+1/4,y,-z+1/4'
'x+1/4,-y,z+1/4'
'x,y+1/2,z+1/2'
'-x,-y+1/2,-z+1/2'
'-x+1/4,-y+3/4,z+1/2'
'x+1/4,y+3/4,-z+1/2'
'x,-y+3/4,-z+3/4'
'-x,y+3/4,z+3/4'
'-x+1/4,y+1/2,-z+3/4'
'x+1/4,-y+1/2,z+3/4'
'x+1/2,y,z+1/2'
'-x+1/2,-y,-z+1/2'
'-x+3/4,-y+1/4,z+1/2'
'x+3/4,y+1/4,-z+1/2'
'x+1/2,-y+1/4,-z+3/4'
'-x+1/2,y+1/4,z+3/4'
'-x+3/4,y,-z+3/4'
'x+3/4,-y,z+3/4'
'x+1/2,y+1/2,z'
'-x+1/2,-y+1/2,-z'
'-x+3/4,-y+3/4,z'
'x+3/4,y+3/4,-z'
'x+1/2,-y+3/4,-z+1/4'
'-x+1/2,y+3/4,z+1/4'
'-x+3/4,y+1/2,-z+1/4'
'x+3/4,-y+1/2,z+1/4'
loop_
_atom_site_label
_atom_site_fract_x
_atom_site_fract_y
_atom_site_fract_z
Pr1 0.000 0.000 0.000
Be1 0.125 0.001 0.625
Ir1 0.125 0.125 0.466
```

Here is an optimized crystal structure of Pr2BeIr from Alexandria via LeMat-Bulk. Energies are from PBE.

Computed properties:
DFT total energy, eV per atom: -5.967
Mass density, g/cm3: 7.8
DOS(E_F), states/eV/cell: 11.01

CIF file:
```
data_Pr2BeIr
_symmetry_space_group_name_H-M 'R 3 m'
_symmetry_Int_Tables_number 160
_symmetry_space_group_name_Hall 'R 3 -2"'
_cell_length_a 4.0377
_cell_length_b 4.0377
_cell_length_c 21.9086
_cell_angle_alpha 90.00
_cell_angle_beta 90.00
_cell_angle_gamma 120.00
loop_
_atom_site_label
_atom_site_fract_x
_atom_site_fract_y
_atom_site_fract_z
Pr1 0.0000 0.0000 0.0000
Pr2 0.0000 0.0000 0.1764
Be1 0.0000 0.0000 0.4214
Ir1 0.0000 0.0000 0.7550
```

Here is an optimized crystal structure of PrBe3Ir from Alexandria via LeMat-Bulk. Energies are from PBE.

Computed properties:
DFT total energy, eV per atom: -5.292
Mass density, g/cm3: 7.4
DOS(E_F), states/eV/cell: 1.68

CIF file:
```
data_PrBe3Ir
_symmetry_space_group_name_H-M 'P m -3 m'
_symmetry_Int_Tables_number 221
_symmetry_space_group_name_Hall '-P 4 2 3'
_cell_length_a 4.331
_cell_length_b 4.331
_cell_length_c 4.331
_cell_angle_alpha 90.00
_cell_angle_beta 90.00
_cell_angle_gamma 90.00
loop_
_atom_site_label
_atom_site_fract_x
_atom_site_fract_y
_atom_site_fract_z
Pr1 0.000 0.000 0.000
Be1 0.000 0.500 0.500
Ir1 0.500 0.500 0.500
```

Here is an optimized crystal structure of Pr2Be4Ir5 from Alexandria via LeMat-Bulk. Energies are from PBE.

Computed properties:
DFT total energy, eV per atom: -6.866
Mass density, g/cm3: 12.3
DOS(E_F), states/eV/cell: 21.52

CIF file:
```
data_Pr2Be4Ir5
_symmetry_space_group_name_H-M 'F m m m'
_symmetry_Int_Tables_number 69
_symmetry_space_group_name_Hall '-F 2 2'
_cell_length_a 5.733
_cell_length_b 9.658
_cell_length_c 12.487
_cell_angle_alpha 90.00
_cell_angle_beta 90.00
_cell_angle_gamma 90.00
loop_
_atom_site_label
_atom_site_fract_x
_atom_site_fract_y
_atom_site_fract_z
Pr1 0.000 0.000 0.136
Be1 0.000 0.163 0.370
Ir1 0.000 0.000 0.500
Ir2 0.250 0.250 0.000
Ir3 0.250 0.250 0.250
```

Here is an optimized crystal structure of PrBeIr from Alexandria via LeMat-Bulk. Energies are from PBE.

Computed properties:
DFT total energy, eV per atom: -6.330
Mass density, g/cm3: 9.8
DOS(E_F), states/eV/cell: 4.46

CIF file:
```
data_PrBeIr
_symmetry_space_group_name_H-M 'P 63/m m c'
_symmetry_Int_Tables_number 194
_symmetry_space_group_name_Hall '-P 6c 2c'
_cell_length_a 3.9843
_cell_length_b 3.9843
_cell_length_c 8.4591
_cell_angle_alpha 90.00
_cell_angle_beta 90.00
_cell_angle_gamma 120.00
loop_
_atom_site_label
_atom_site_fract_x
_atom_site_fract_y
_atom_site_fract_z
Pr1 0.0000 0.0000 0.0000
Be1 0.3333 0.6667 0.2500
Ir1 0.3333 0.6667 0.7500
```

Here is an optimized crystal structure of PrBeIr from Alexandria via LeMat-Bulk. Energies are from PBE.

Computed properties:
DFT total energy, eV per atom: -6.269
Mass density, g/cm3: 9.7
DOS(E_F), states/eV/cell: 6.72

CIF file:
```
data_PrBeIr
_symmetry_space_group_name_H-M 'P 1 21/c 1'
_symmetry_Int_Tables_number 14
_symmetry_space_group_name_Hall '-P 2ybc'
_cell_length_a 5.847
_cell_length_b 5.748
_cell_length_c 7.650
_cell_angle_alpha 90.00
_cell_angle_beta 114.72
_cell_angle_gamma 90.00
loop_
_atom_site_label
_atom_site_fract_x
_atom_site_fract_y
_atom_site_fract_z
Pr1 0.197 0.130 0.382
Be1 0.288 0.642 0.553
Ir1 0.368 0.603 0.293
```

Here is an optimized crystal structure of PrBeIr from Alexandria via LeMat-Bulk. Energies are from PBE.

Computed properties:
DFT total energy, eV per atom: -6.328
Mass density, g/cm3: 9.8
DOS(E_F), states/eV/cell: 1.05

CIF file:
```
data_PrBeIr
_symmetry_space_group_name_H-M 'P -6 m 2'
_symmetry_Int_Tables_number 187
_symmetry_space_group_name_Hall 'P -6 2'
_cell_length_a 3.9759
_cell_length_b 3.9759
_cell_length_c 4.2466
_cell_angle_alpha 90.00
_cell_angle_beta 90.00
_cell_angle_gamma 120.00
loop_
_atom_site_label
_atom_site_fract_x
_atom_site_fract_y
_atom_site_fract_z
Pr1 0.0000 0.0000 0.0000
Be1 0.3333 0.6667 0.5000
Ir1 0.6667 0.3333 0.5000
```